Entry from Alexandria via LeMat-Bulk: an optimized crystal structure of LiTa2HAu (GGA-PBE).

abc: 4.062 4.062 4.166
angles: 90.00 90.00 90.00
Positions (direct):
1 H 0.000 0.000 0.000
2 Li 0.000 0.000 0.500
3 Au 0.500 0.500 0.500
4 Ta 0.000 0.500 0.000
5 Ta 0.500 0.000 0.000

Crystal system: tetragonal
Space-group type: P4/mmm (123)
Energy (eV/atom): -6.47
V (Å³/atom): 13.75